# K3NbCr2S6 PBE-GGA relaxed
data_K3NbCr2S6
_chemical_formula_sum 'K3 Nb1 Cr2 S6'
_cell_length_a 6.327
_cell_length_b 6.327
_cell_length_c 7.521
_cell_angle_alpha 98.08
_cell_angle_beta 98.08
_cell_angle_gamma 119.98
_symmetry_space_group_name_H-M 'P 1'
_symmetry_Int_Tables_number 1
loop_
_symmetry_equiv_pos_as_xyz
'x,y,z'
loop_
_atom_site_label
_atom_site_fract_x
_atom_site_fract_y
_atom_site_fract_z
Cr1 0.333 0.667 0.000
Cr2 0.667 0.333 0.000
S1 0.408 0.061 0.184
S2 0.061 0.408 0.184
S3 0.939 0.592 0.816
S4 0.592 0.939 0.816
S5 0.286 0.286 0.818
S6 0.714 0.714 0.182
K1 0.163 0.837 0.500
K2 0.837 0.163 0.500
K3 0.500 0.500 0.500
Nb1 0.000 0.000 0.000
# Total magnetization, μB per atom: 0.33
# Raw total energy, eV for the cell shown: -68.6
# Energy relative to the elements, uncorrected, meV per atom: -934
# V, Å³/cell: 250.27

# ScS2ClF PBE-GGA relaxed
data_ScS2ClF
_chemical_formula_sum 'Sc1 S2 Cl1 F1'
_cell_length_a 4.188
_cell_length_b 4.188
_cell_length_c 5.116
_cell_angle_alpha 90.00
_cell_angle_beta 90.00
_cell_angle_gamma 90.00
_symmetry_space_group_name_H-M 'P 1'
_symmetry_Int_Tables_number 1
loop_
_symmetry_equiv_pos_as_xyz
'x,y,z'
loop_
_atom_site_label
_atom_site_fract_x
_atom_site_fract_y
_atom_site_fract_z
S1 0.500 0.000 0.000
S2 0.000 0.500 0.000
Sc1 0.500 0.500 0.500
F1 0.000 0.000 0.000
Cl1 0.000 0.000 0.500
# Total magnetization, μB per atom: 0.00
# Raw total energy, eV for the cell shown: -19.9
# Energy relative to the elements, uncorrected, meV per atom: -313
# V, Å³/cell: 89.72
# Energy above the most stable polymorph in this dataset, eV/atom: 0.300